The following is a PBE calculation of a relaxed NiBP2S crystal, from the Alexandria database.

The structure in POSCAR format:
```
NiBP2S
1.0
4.018 0.000 0.000
0.000 4.018 0.000
0.000 0.000 4.109
Ni B P S
1 1 2 1
direct
0.000 0.000 0.000
0.500 0.500 0.500
0.000 0.500 0.500
0.500 0.000 0.500
0.500 0.500 0.000
```

Summary:
ρ: 4.092 g cm⁻³
energy above the lowest structure with this stoichiometry: 0 meV/atom